Record 1
VASP calculation (PBE) on crystalline KYSi at its relaxed geometry.

energy above the lowest structure with this stoichiometry = 180.1 meV per atom
space-group type = P1, No. 1
ΔE_f (raw) = -14.5 kJ per mole of atoms

a = 3.8137 Å, b = 3.8409 Å, c = 14.0799 Å
α = 89.85°, β = 89.40°, γ = 89.97°
Closest atoms and distances in Å follow each position.
Atoms (fractional coordinates):
1 K 0.0000 0.0000 0.0000  1 Y 3.45, 4 Si 3.63-3.69, 4 K 3.81-3.84
2 K 0.4729 0.5078 0.2961  4 K 3.81-3.84
3 Y 0.0260 0.0058 0.7553  8 Si 2.87-3.14, 1 Y 3.15
4 Y 0.9604 0.0059 0.5326  4 Si 3.03-3.29, 1 Y 3.15
5 Si 0.5118 0.5062 0.6482  1 Si 2.49
6 Si 0.5187 0.5048 0.8252  1 Si 2.49

=====

Record 2
VASP calculation (PBE) on crystalline KYSi at its relaxed geometry.

energy above the lowest structure with this stoichiometry = 0.0 meV per atom
space-group type = Cmcm, No. 63
ΔE_f (raw) = -31.8 kJ per mole of atoms

a = 13.2831 Å, b = 13.2831 Å, c = 3.8281 Å
α = 90.00°, β = 90.00°, γ = 161.68°
Closest atoms and distances in Å follow each position.
Atoms (fractional coordinates):
1 K 0.1747 0.8253 0.7500  1 Si 3.77, 2 K 3.83, 4 Y 4.22
2 K 0.8253 0.1747 0.2500  1 Si 3.77, 2 K 3.83, 4 Y 4.22
3 Y 0.4442 0.5558 0.7500  6 Si 2.93-3.11
4 Y 0.5558 0.4442 0.2500  6 Si 2.93-3.11
5 Si 0.0309 0.9691 0.7500  2 Si 2.51
6 Si 0.9691 0.0309 0.2500  2 Si 2.51

=====

Record 3
VASP calculation (PBE) on crystalline KYSi at its relaxed geometry.

energy above the lowest structure with this stoichiometry = 128.6 meV per atom
space-group type = Pnma, No. 62
ΔE_f (raw) = -19.4 kJ per mole of atoms

a = 8.8731 Å, b = 5.0290 Å, c = 8.1403 Å
α = 90.00°, β = 90.00°, γ = 90.00°
Closest atoms and distances in Å follow each position.
Atoms (fractional coordinates):
1 K 0.0146 0.2500 0.1499  3 Si 3.43-3.51, 2 K 3.51, 4 Y 3.62-3.78
2 K 0.4854 0.7500 0.6499  3 Si 3.43-3.51, 2 K 3.51, 4 Y 3.62-3.78
3 K 0.5146 0.2500 0.3501  3 Si 3.43-3.51, 2 K 3.51, 4 Y 3.62-3.78
4 K 0.9854 0.7500 0.8501  3 Si 3.43-3.51, 2 K 3.51, 4 Y 3.62-3.78
5 Y 0.1448 0.2500 0.5809  4 Si 2.90-2.97
6 Y 0.3552 0.7500 0.0809  4 Si 2.90-2.97
7 Y 0.6448 0.2500 0.9191  4 Si 2.90-2.97
8 Y 0.8552 0.7500 0.4191  4 Si 2.90-2.97
9 Si 0.1804 0.7500 0.3913  4 Y 2.90-2.97
10 Si 0.3196 0.2500 0.8913  4 Y 2.90-2.97
11 Si 0.6804 0.7500 0.1087  4 Y 2.90-2.97
12 Si 0.8196 0.2500 0.6087  4 Y 2.90-2.97

=====

Record 4
VASP calculation (PBE) on crystalline KYSi at its relaxed geometry.

energy above the lowest structure with this stoichiometry = 55.7 meV per atom
space-group type = P2_1/m, No. 11
ΔE_f (raw) = -26.5 kJ per mole of atoms

a = 4.2767 Å, b = 3.8666 Å, c = 13.3711 Å
α = 90.00°, β = 90.12°, γ = 90.00°
Closest atoms and distances in Å follow each position.
Atoms (fractional coordinates):
1 K 0.2476 0.2500 0.1542  2 Si 3.47, 2 K 3.87
2 K 0.7524 0.7500 0.8458  2 Si 3.47, 2 K 3.87
3 Y 0.2507 0.7500 0.5918  5 Si 2.93-2.97
4 Y 0.7493 0.2500 0.4082  5 Si 2.93-2.97
5 Si 0.2490 0.7500 0.3698  5 Y 2.93-2.97
6 Si 0.7510 0.2500 0.6302  5 Y 2.93-2.97

=====

Record 5
VASP calculation (PBE) on crystalline KYSi at its relaxed geometry.

energy above the lowest structure with this stoichiometry = 409.7 meV per atom
space-group type = Imma, No. 74
ΔE_f (raw) = 7.7 kJ per mole of atoms

a = 6.1700 Å, b = 6.1700 Å, c = 6.1700 Å
α = 115.73°, β = 114.79°, γ = 98.43°
Closest atoms and distances in Å follow each position.
Atoms (fractional coordinates):
1 K 0.3977 0.1477 0.2500  2 Si 3.29, 2 Y 3.60, 2 K 3.67
2 K 0.6023 0.8523 0.7500  2 Si 3.29, 2 Y 3.60, 2 K 3.67
3 Y 0.0000 0.0000 0.5000  4 Si 3.08, 2 Y 3.28
4 Y 0.0000 0.5000 0.0000  4 Si 3.08, 2 Y 3.28
5 Si 0.0000 0.5000 0.5000  4 Y 3.08, 2 K 3.29, 2 Si 3.32
6 Si 0.5000 0.5000 0.0000  4 Y 3.08, 2 K 3.29, 2 Si 3.32

=====

Record 6
VASP calculation (PBE) on crystalline KYSi at its relaxed geometry.

energy above the lowest structure with this stoichiometry = 222.8 meV per atom
space-group type = P6_3/mmc, No. 194
ΔE_f (raw) = -10.3 kJ per mole of atoms

a = 5.3858 Å, b = 5.3858 Å, c = 6.2218 Å
α = 90.00°, β = 90.00°, γ = 120.00°
Closest atoms and distances in Å follow each position.
Atoms (fractional coordinates):
1 K 0.0000 0.0000 0.0000  2 K 3.11, 6 Si 3.48, 6 Y 3.48
2 K 0.0000 0.0000 0.5000  2 K 3.11, 6 Si 3.48, 6 Y 3.48
3 Y 0.3333 0.6667 0.2500  5 Si 3.11, 6 K 3.48
4 Y 0.6667 0.3333 0.7500  5 Si 3.11, 6 K 3.48
5 Si 0.3333 0.6667 0.7500  5 Y 3.11, 6 K 3.48
6 Si 0.6667 0.3333 0.2500  5 Y 3.11, 6 K 3.48

=====

Record 7
VASP calculation (PBE) on crystalline KYSi3 at its relaxed geometry.

energy above the lowest structure with this stoichiometry = 795.5 meV per atom
space-group type = Pm-3m, No. 221
ΔE_f (raw) = 138.8 kJ per mole of atoms

a = 5.0958 Å, b = 5.0958 Å, c = 5.0958 Å
α = 90.00°, β = 90.00°, γ = 90.00°
Closest atoms and distances in Å follow each position.
Atoms (fractional coordinates):
1 K 0.0000 0.0000 0.0000  6 Si 2.55
2 Y 0.5000 0.5000 0.5000  12 Si 3.60
3 Si 0.0000 0.0000 0.5000  2 K 2.55
4 Si 0.0000 0.5000 0.0000  2 K 2.55
5 Si 0.5000 0.0000 0.0000  2 K 2.55

=====

Record 8
VASP calculation (PBE) on crystalline KYSi at its relaxed geometry.

energy above the lowest structure with this stoichiometry = 62.6 meV per atom
space-group type = P4/nmm, No. 129
ΔE_f (raw) = -25.8 kJ per mole of atoms

a = 5.2068 Å, b = 5.2068 Å, c = 7.6409 Å
α = 90.00°, β = 90.00°, γ = 90.00°
Closest atoms and distances in Å follow each position.
Atoms (fractional coordinates):
1 K 0.2500 0.2500 0.1154  1 Si 3.41
2 K 0.7500 0.7500 0.8846  1 Si 3.41
3 Y 0.2500 0.7500 0.5000  4 Si 2.91
4 Y 0.7500 0.2500 0.5000  4 Si 2.91
5 Si 0.2500 0.2500 0.6687  4 Y 2.91
6 Si 0.7500 0.7500 0.3313  4 Y 2.91